VASP calculation (PBE) on an optimized crystal structure of TbErMnIn.

Lattice parameters (Å, degrees): 5.1868 5.1868 5.1868 60.00 60.00 60.00
Closest atoms and distances in Å follow each position.
Sites, in units of the cell vectors:
Tb: 0.0000 0.0000 0.0000  4 In 3.18, 4 Mn 3.18
Er: 0.5000 0.5000 0.5000  4 In 3.18, 4 Mn 3.18
Mn: 0.2500 0.2500 0.2500  4 Tb 3.18, 4 Er 3.18
In: 0.7500 0.7500 0.7500  4 Er 3.18, 4 Tb 3.18

Properties
ΔH_f (0 K) = -0.10 eV per atom
space group = F-43m (216)

VASP calculation (PBE) on an optimized crystal structure of Er3Th3MnIn2.

Lattice parameters (Å, degrees): 8.6837 8.6837 3.7596 90.00 90.00 120.00
Closest atoms and distances in Å follow each position.
Sites, in units of the cell vectors:
Er: 0.0000 0.3986 0.0000  4 In 3.25, 1 Mn 3.46, 4 Th 3.55
Er: 0.3986 0.0000 0.0000  4 In 3.25, 1 Mn 3.46, 4 Th 3.55
Er: 0.6014 0.6014 0.0000  4 In 3.25, 1 Mn 3.46, 4 Th 3.55
Th: 0.0000 0.7626 0.5000  2 Mn 2.79
Th: 0.2374 0.2374 0.5000  2 Mn 2.79
Th: 0.7626 0.0000 0.5000  2 Mn 2.79
Mn: 0.0000 0.0000 0.0000  6 Th 2.79
In: 0.3333 0.6667 0.5000  6 Er 3.25, 3 Th 3.39
In: 0.6667 0.3333 0.5000  6 Er 3.25, 3 Th 3.39

Properties
ΔH_f (0 K) = -0.19 eV per atom
space group = P-62m (189)

VASP calculation (PBE) on an optimized crystal structure of YErMnIn.

Lattice parameters (Å, degrees): 5.1843 5.1843 5.1843 60.00 60.00 60.00
Closest atoms and distances in Å follow each position.
Sites, in units of the cell vectors:
Y: 0.0000 0.0000 0.0000  4 In 3.17, 4 Mn 3.17
Er: 0.5000 0.5000 0.5000  4 In 3.17, 4 Mn 3.17
Mn: 0.2500 0.2500 0.2500  4 Er 3.17, 4 Y 3.17
In: 0.7500 0.7500 0.7500  4 Er 3.17, 4 Y 3.17

Properties
ΔH_f (0 K) = -0.11 eV per atom
space group = F-43m (216)

VASP calculation (PBE) on an optimized crystal structure of Er3InN.

Lattice parameters (Å, degrees): 4.7645 4.7645 4.7645 90.00 90.00 90.00
Closest atoms and distances in Å follow each position.
Sites, in units of the cell vectors:
Er: 0.0000 0.0000 0.5000  2 N 2.38
Er: 0.0000 0.5000 0.0000  2 N 2.38
Er: 0.5000 0.0000 0.0000  2 N 2.38
In: 0.5000 0.5000 0.5000  12 Er 3.37
N: 0.0000 0.0000 0.0000  6 Er 2.38

Properties
raw formation energy = -1.02 eV/atom
space group = Pm-3m (221)

VASP calculation (PBE) on an optimized crystal structure of Er2InN.

Lattice parameters (Å, degrees): 8.0629 8.0629 8.0629 25.02 25.02 25.02
Closest atoms and distances in Å follow each position.
Sites, in units of the cell vectors:
Er: 0.2229 0.2229 0.2229  3 N 2.41
Er: 0.7771 0.7771 0.7771  3 N 2.41
In: 0.0000 0.0000 0.0000  6 Er 3.28, 6 In 3.49
N: 0.5000 0.5000 0.5000  6 Er 2.41

Properties
raw formation energy = -1.06 eV/atom
space group = R-3m (166)

VASP calculation (PBE) on an optimized crystal structure of ErInN2.

Lattice parameters (Å, degrees): 5.7240 5.7240 5.7240 34.76 34.76 34.76
Closest atoms and distances in Å follow each position.
Sites, in units of the cell vectors:
Er: 0.0000 0.0000 0.0000  6 N 2.38
In: 0.5000 0.5000 0.5000  6 N 2.39
N: 0.2507 0.2507 0.2507  3 Er 2.38, 3 In 2.39
N: 0.7493 0.7493 0.7493  3 Er 2.38, 3 In 2.39

Properties
raw formation energy = -0.75 eV/atom
space group = R-3m (166)